Record 1
The following is a GGA-PBE calculation of a geometry-optimized KIrAu2 structure, from Alexandria via LeMat-Bulk.

Output
As for the crystal system: monoclinic. As for the space-group type: No. 8. As for the energy relative to the elements: 0.40 eV/atom. The uncorrected energy comes out at -3.724 eV per atom. For the distance to the lowest polymorph of the same formula, the calculation gives 114 meV per atom. The density of states at the Fermi level is 2.6 states/eV per cell.

Unit cell a=5.6871 b=5.6871 c=5.3727 alpha=75.06 beta=75.06 gamma=28.25
With the nearest neighbours (Å) after each atom.
Element x y z (fractional)
K 0.2527 0.2527 0.1909  2 K 2.78, 7 Au 2.96-3.10
Au 0.7495 0.7495 0.6822  2 Au 2.78, 3 Ir 2.86-3.10, 4 K 2.97-3.07
Au 0.0134 0.0134 0.0386  2 Au 2.78, 2 Ir 2.88, 3 K 2.96-3.10
Ir 0.4844 0.4844 0.5884  2 Ir 2.78, 5 Au 2.86-3.10

Record 2
The following is a GGA-PBE calculation of a geometry-optimized ZrCoSb3 structure, from Alexandria via LeMat-Bulk.

Output
As for the crystal system: cubic. As for the space-group type: No. 221. The formation energy without anion corrections is 8.62 kcal/mol of atoms. The uncorrected energy comes out at -5.230 eV per atom. For the distance to the lowest polymorph of the same formula, the calculation gives 0 meV per atom. The density of states at the Fermi level is 6.1 states/eV per cell.

Unit cell a=4.9370 b=4.9370 c=4.9370 alpha=90.00 beta=90.00 gamma=90.00
With the nearest neighbours (Å) after each atom.
Element x y z (fractional)
Sb 0.0000 0.0000 0.5000  2 Co 2.47
Sb 0.0000 0.5000 0.0000  2 Co 2.47
Sb 0.5000 0.0000 0.0000  2 Co 2.47
Zr 0.5000 0.5000 0.5000  12 Sb 3.49
Co 0.0000 0.0000 0.0000  6 Sb 2.47

Record 3
The following is a GGA-PBE calculation of a geometry-optimized RbCdP structure, from Alexandria via LeMat-Bulk.

Output
As for the crystal system: hexagonal. As for the space-group type: No. 187. As for the energy relative to the elements: -0.32 eV/atom. The uncorrected energy comes out at -2.753 eV per atom. The density of states at the Fermi level is 0.2 states/eV per cell.

Unit cell a=5.4707 b=4.4458 c=4.4458 alpha=120.00 beta=90.00 gamma=90.00
With the nearest neighbours (Å) after each atom.
Element x y z (fractional)
Rb 0.6666 0.6667 0.3333  6 P 3.75, 6 Cd 3.75
Cd 0.1666 0.0000 0.0000  3 P 2.57
P 0.1668 0.3333 0.6667  3 Cd 2.57

Record 4
The following is a GGA-PBE calculation of a geometry-optimized LaNbSi2Se structure, from Alexandria via LeMat-Bulk.

Output
As for the crystal system: tetragonal. As for the space-group type: No. 123. The formation energy without anion corrections is 33.73 kcal/mol of atoms. The uncorrected energy comes out at -4.403 eV per atom. The density of states at the Fermi level is 4.7 states/eV per cell.

Unit cell a=5.3036 b=5.4614 c=5.3036 alpha=90.00 beta=90.00 gamma=90.00
With the nearest neighbours (Å) after each atom.
Element x y z (fractional)
Nb 0.5000 0.5000 0.5000  4 Se 3.75, 8 Si 3.81
Si 0.0000 0.0000 0.5000  2 La 2.65
Si 0.5000 0.0000 0.0000  2 La 2.65
La 0.0000 0.0000 0.0000  4 Si 2.65, 2 Se 2.73
Se 0.0000 0.5000 0.0000  2 La 2.73

Record 5
The following is a GGA-PBE calculation of a geometry-optimized KIrOs structure, from Alexandria via LeMat-Bulk.

Output
As for the crystal system: triclinic. As for the space-group type: No. 2. As for the energy relative to the elements: 0.55 eV/atom. The uncorrected energy comes out at -6.512 eV per atom. For the distance to the lowest polymorph of the same formula, the calculation gives 85 meV per atom. The density of states at the Fermi level is 7.3 states/eV per cell.

Unit cell a=4.8974 b=4.8849 c=6.5851 alpha=100.95 beta=69.42 gamma=113.22
With the nearest neighbours (Å) after each atom.
Element x y z (fractional)
Os 0.5268 0.2459 0.4369  2 Os 2.55-2.58, 4 Ir 2.56-2.70
Os 0.4732 0.7541 0.5631  2 Os 2.55-2.58, 4 Ir 2.56-2.70
K 0.2101 0.2933 0.9921  2 K 2.79
K 0.7899 0.7067 0.0079  2 K 2.79
Ir 0.9712 0.2534 0.5590  2 Ir 2.54-2.55, 4 Os 2.56-2.70
Ir 0.0288 0.7466 0.4410  2 Ir 2.54-2.55, 4 Os 2.56-2.70

Record 6
The following is a GGA-PBE calculation of a geometry-optimized HfPaCo structure, from Alexandria via LeMat-Bulk.

Output
As for the crystal system: orthorhombic. As for the space-group type: No. 70. As for the energy relative to the elements: -0.30 eV/atom. The uncorrected energy comes out at -9.156 eV per atom. For the distance to the lowest polymorph of the same formula, the calculation gives 0 meV per atom. The density of states at the Fermi level is 15.1 states/eV per cell.

Unit cell a=5.0690 b=5.3162 c=9.9056 alpha=82.99 beta=75.18 gamma=61.53
With the nearest neighbours (Å) after each atom.
Element x y z (fractional)
Co 0.6269 0.5000 0.7463  2 Co 2.66, 4 Pa 2.66-2.80, 4 Hf 2.82-2.85
Co 0.1231 0.0000 0.7537  2 Co 2.66, 4 Pa 2.66-2.80, 4 Hf 2.82-2.85
Co 0.8769 0.0000 0.2463  2 Co 2.66, 4 Pa 2.66-2.80, 4 Hf 2.82-2.85
Co 0.8731 0.5000 0.2537  2 Co 2.66, 4 Pa 2.66-2.80, 4 Hf 2.82-2.85
Hf 0.8339 0.3322 0.0000  4 Co 2.82-2.85, 3 Hf 2.98-3.10
Hf 0.5839 0.8322 0.5000  4 Co 2.82-2.85, 3 Hf 2.98-3.10
Hf 0.9161 0.1678 0.5000  4 Co 2.82-2.85, 3 Hf 2.98-3.10
Hf 0.1661 0.6678 0.0000  4 Co 2.82-2.85, 3 Hf 2.98-3.10
Pa 0.3310 0.5000 0.3379  4 Co 2.66-2.80
Pa 0.5810 0.0000 0.8379  4 Co 2.66-2.80
Pa 0.1690 0.5000 0.6621  4 Co 2.66-2.80
Pa 0.4190 0.0000 0.1621  4 Co 2.66-2.80

Record 7
The following is a GGA-PBE calculation of a geometry-optimized RbSmC2O6 structure, from Alexandria via LeMat-Bulk.

Output
As for the crystal system: monoclinic. As for the space-group type: No. 15. The formation energy without anion corrections is -49.28 kcal/mol of atoms. The uncorrected energy comes out at -7.525 eV per atom. The density of states at the Fermi level is 0.0 states/eV per cell.

Unit cell a=6.5733 b=6.5733 c=7.3158 alpha=75.87 beta=75.87 gamma=95.27
With the nearest neighbours (Å) after each atom.
Element x y z (fractional)
C 0.6030 0.8516 0.7524  3 O 1.28-1.32
C 0.3970 0.1484 0.2476  3 O 1.28-1.32
C 0.8516 0.6030 0.2524  3 O 1.28-1.32
C 0.1484 0.3970 0.7476  3 O 1.28-1.32
O 0.7861 0.7346 0.1244  1 C 1.30
O 0.9512 0.4016 0.7621  1 C 1.28
O 0.5984 0.0488 0.7379  1 C 1.28
O 0.0488 0.5984 0.2379  1 C 1.28
O 0.2654 0.2139 0.3756  1 C 1.30
O 0.2139 0.2654 0.8756  1 C 1.30
O 0.4016 0.9512 0.2621  1 C 1.28
O 0.7346 0.7861 0.6244  1 C 1.30
O 0.5312 0.2980 0.1025  1 C 1.32
O 0.2980 0.5312 0.6025  1 C 1.32
O 0.4688 0.7020 0.8975  1 C 1.32
O 0.7020 0.4688 0.3975  1 C 1.32
Sm 0.5953 0.4047 0.7500  8 O 2.36-2.56
Sm 0.4047 0.5953 0.2500  8 O 2.36-2.56
Rb 0.8851 0.1149 0.2500  8 O 2.92-3.23, 2 C 3.24
Rb 0.1149 0.8851 0.7500  8 O 2.92-3.23, 2 C 3.24

Record 8
The following is a GGA-PBE calculation of a geometry-optimized AlGaPd5 structure, from Alexandria via LeMat-Bulk.

Output
As for the crystal system: monoclinic. As for the space-group type: No. 15. As for the energy relative to the elements: -0.28 eV/atom. The uncorrected energy comes out at -4.955 eV per atom. For the distance to the lowest polymorph of the same formula, the calculation gives 250 meV per atom. The density of states at the Fermi level is 7.3 states/eV per cell.

Unit cell a=6.6871 b=6.6871 c=6.5881 alpha=66.91 beta=66.91 gamma=89.54
With the nearest neighbours (Å) after each atom.
Element x y z (fractional)
Al 0.4592 0.5408 0.7500  7 Pd 2.48-2.60
Al 0.5408 0.4592 0.2500  7 Pd 2.48-2.60
Pd 0.1932 0.3909 0.1837  2 Al 2.48-2.60, 1 Ga 2.55, 3 Pd 2.71-2.76
Pd 0.3909 0.1932 0.6837  2 Al 2.48-2.60, 1 Ga 2.55, 3 Pd 2.71-2.76
Pd 0.8052 0.4445 0.4925  2 Al 2.53-2.79, 6 Pd 2.72-2.81
Pd 0.8068 0.6091 0.8163  2 Al 2.48-2.60, 1 Ga 2.55, 3 Pd 2.71-2.76
Pd 0.8051 0.1949 0.2500  2 Ga 2.47, 1 Al 2.49, 4 Pd 2.71-2.73
Pd 0.5555 0.1948 0.0075  2 Al 2.53-2.79, 6 Pd 2.72-2.81
Pd 0.6091 0.8068 0.3163  2 Al 2.48-2.60, 1 Ga 2.55, 3 Pd 2.71-2.76
Pd 0.1949 0.8051 0.7500  2 Ga 2.47, 1 Al 2.49, 4 Pd 2.71-2.73
Pd 0.1948 0.5555 0.5075  2 Al 2.53-2.79, 6 Pd 2.72-2.81
Pd 0.4445 0.8052 0.9925  2 Al 2.53-2.79, 6 Pd 2.72-2.81
Ga 0.0000 0.0000 0.0000  4 Pd 2.47-2.55
Ga 0.0000 0.0000 0.5000  4 Pd 2.47-2.55

Record 9
The following is a GGA-PBE calculation of a geometry-optimized BaY2Ta structure, from Alexandria via LeMat-Bulk.

Output
As for the crystal system: trigonal. As for the space-group type: No. 166. As for the energy relative to the elements: 0.52 eV/atom. The uncorrected energy comes out at -6.158 eV per atom. For the distance to the lowest polymorph of the same formula, the calculation gives 138 meV per atom. The density of states at the Fermi level is 5.3 states/eV per cell.

Unit cell a=11.9622 b=11.9622 c=11.9622 alpha=16.62 beta=16.62 gamma=16.62
With the nearest neighbours (Å) after each atom.
Element x y z (fractional)
Ba 0.2500 0.2500 0.2500  6 Ba 3.46
Y 0.4859 0.4859 0.4859  3 Ta 3.16, 6 Y 3.46
Y 0.0141 0.0141 0.0141  3 Ta 3.16, 6 Y 3.46
Ta 0.7500 0.7500 0.7500  6 Y 3.16, 6 Ta 3.46

Record 10
The following is a GGA-PBE calculation of a geometry-optimized NiPbCl2 structure, from Alexandria via LeMat-Bulk.

Output
As for the crystal system: orthorhombic. As for the space-group type: No. 71. The formation energy without anion corrections is -9.10 kcal/mol of atoms. The uncorrected energy comes out at -3.690 eV per atom. For the distance to the lowest polymorph of the same formula, the calculation gives 77 meV per atom. The density of states at the Fermi level is 1.8 states/eV per cell.

Unit cell a=5.7724 b=5.7724 c=5.7724 alpha=145.36 beta=123.58 gamma=67.92
With the nearest neighbours (Å) after each atom.
Element x y z (fractional)
Pb 0.2500 0.7500 0.5000  4 Cl 3.16, 4 Ni 3.22, 2 Pb 3.44
Cl 0.9164 0.9164 0.0000  2 Ni 2.34
Cl 0.5836 0.5836 0.0000  2 Ni 2.34
Ni 0.7500 0.2500 0.5000  4 Cl 2.34

Question: Which formula does entry 8 have?
Answer: AlGaPd5